(1)
# ScMnTc2

A relaxed structure of ScMnTc2 (PBE-GGA, Alexandria via LeMat-Bulk).

Geometry as POSCAR:
```
ScMnTc2
1.0
2.786 0.000 0.000
0.000 2.786 0.000
0.000 0.000 7.759
Sc Mn Tc
1 1 2
Cartesian
0.000 0.000 0.000 Sc
0.000 0.000 3.880 Mn
1.393 1.393 2.238 Tc
1.393 1.393 5.521 Tc
```

Computed properties:
Space-group type ... P4/mmm, No. 123
Energy relative to the lowest polymorph listed for this composition ... 131 meV/atom
Crystal system ... tetragonal
Theoretical density ... 8161 kg/m3
Energy of formation from the pure elements ... 0.100 eV/atom

***

(2)
# ThScMnTc

A relaxed structure of ThScMnTc (PBE-GGA, Alexandria via LeMat-Bulk).

Geometry as POSCAR:
```
ThScMnTc
1.0
0.000 3.390 3.390
3.390 0.000 3.390
3.390 3.390 0.000
Th Sc Mn Tc
1 1 1 1
Cartesian
0.000 0.000 0.000 Th
3.390 3.390 3.390 Sc
5.085 5.085 5.085 Mn
1.695 1.695 1.695 Tc
```

Computed properties:
Space-group type ... F-43m, No. 216
Crystal system ... cubic
Theoretical density ... 9163 kg/m3
Energy of formation from the pure elements ... -0.041 eV/atom

***

(3)
# ScUMnTc

A relaxed structure of ScUMnTc (PBE-GGA, Alexandria via LeMat-Bulk).

Geometry as POSCAR:
```
ScUMnTc
1.0
0.000 3.271 3.271
3.271 0.000 3.271
3.271 3.271 0.000
Sc U Mn Tc
1 1 1 1
Cartesian
0.000 0.000 0.000 Sc
3.271 3.271 3.271 U
1.636 1.636 1.636 Mn
4.907 4.907 4.907 Tc
```

Computed properties:
Space-group type ... F-43m, No. 216
Crystal system ... cubic
Theoretical density ... 10340 kg/m3
Energy of formation from the pure elements ... 0.000 eV/atom